The following is a DFT calculation (PBE-GGA) of crystalline Re2MoI2 at its relaxed geometry.

Computed properties:
**Raw total energy**: -0.2129 Ha/atom
**Space group**: I4/mmm
**DOS at the Fermi energy**: 3.48 states/eV per cell
**Uncorrected formation energy**: 1972 meV per atom
**Density**: 10.5 g/cm³
**Excess energy over the best structure of this formula in the dataset**: 17.1 kJ per mole of atoms

Cell: 4.384 4.384 6.689 Å, 70.87 70.87 90.00°
Positions (direct):
I: 0.369 0.369 0.262
I: 0.631 0.631 0.738
Re: 0.750 0.250 0.500
Re: 0.250 0.750 0.500
Mo: 0.000 0.000 0.000